Density functional theory data (PBE) for crystalline Sr3Pb at its relaxed geometry.

a = 5.794 Å, b = 7.685 Å, c = 7.348 Å
α = 90.00°, β = 90.00°, γ = 90.00°
Fractional positions:
Sr (0.500, 0.000, 0.610)
Sr (0.000, 0.500, 0.390)
Sr (0.000, 0.257, 0.839)
Sr (0.000, 0.743, 0.839)
Sr (0.500, 0.757, 0.161)
Sr (0.500, 0.243, 0.161)
Pb (0.000, 0.000, 0.328)
Pb (0.500, 0.500, 0.672)

Results
* symmetry: No. 59
* volume: 327 Å³/cell
* size of the total moment: 0.00 Bohr magnetons per cell
* electronic total energy: -9.80 eV per formula unit

***

Density functional theory data (PBE) for crystalline SrPb2 at its relaxed geometry.

a = 7.088 Å, b = 7.088 Å, c = 7.088 Å
α = 125.59°, β = 125.59°, γ = 80.56°
Fractional positions:
Sr (0.250, 0.250, 0.000)
Sr (0.750, 0.750, 0.000)
Pb (0.201, 0.299, 0.500)
Pb (0.799, 0.701, 0.500)
Pb (0.701, 0.201, 0.902)
Pb (0.299, 0.799, 0.098)

Results
* symmetry: No. 140
* volume: 227 Å³/cell
* size of the total moment: 0.00 Bohr magnetons per cell
* electronic total energy: -9.76 eV per formula unit

***

Density functional theory data (PBE) for crystalline Sr4Pb at its relaxed geometry.

a = 6.505 Å, b = 6.505 Å, c = 6.505 Å
α = 90.00°, β = 90.00°, γ = 90.00°
Site moments in Bohr magnetons follow the coordinates.
Fractional positions:
Pb (0.500, 0.500, 0.500)  0.04
Sr (0.000, 0.000, 0.000)  0.06
Sr (0.500, 0.000, 0.500)  0.04
Sr (0.000, 0.500, 0.500)  0.04
Sr (0.500, 0.500, 0.000)  0.04

Results
* symmetry: No. 221
* volume: 275 Å³/cell
* size of the total moment: 1.32 Bohr magnetons per cell
* energy above the most stable polymorph in this dataset: 0.0 meV/atom

***

Density functional theory data (PBE) for crystalline Sr5Pb24 at its relaxed geometry.

a = 10.787 Å, b = 10.787 Å, c = 10.787 Å
α = 109.47°, β = 109.47°, γ = 109.47°
Fractional positions:
Pb (0.191, 0.376, 0.000)
Pb (0.376, 0.191, 0.000)
Pb (0.809, 0.809, 0.184)
Pb (0.624, 0.624, 0.816)
Pb (0.809, 0.184, 0.809)
Pb (0.624, 0.816, 0.624)
Pb (0.376, 0.000, 0.191)
Pb (0.191, 0.000, 0.376)
Pb (0.000, 0.376, 0.191)
Pb (0.000, 0.191, 0.376)
Pb (0.816, 0.624, 0.624)
Pb (0.184, 0.809, 0.809)
Pb (0.676, 0.388, 0.000)
Pb (0.388, 0.676, 0.000)
Pb (0.324, 0.324, 0.712)
Pb (0.612, 0.612, 0.288)
Pb (0.324, 0.712, 0.324)
Pb (0.612, 0.288, 0.612)
Pb (0.388, 0.000, 0.676)
Pb (0.676, 0.000, 0.388)
Pb (0.000, 0.388, 0.676)
Pb (0.000, 0.676, 0.388)
Pb (0.288, 0.612, 0.612)
Pb (0.712, 0.324, 0.324)
Sr (0.000, 0.621, 0.000)
Sr (0.621, 0.000, 0.000)
Sr (0.000, 0.000, 0.621)
Sr (0.379, 0.379, 0.379)
Sr (0.000, 0.000, 0.000)

Results
* symmetry: No. 217
* volume: 966 Å³/cell
* size of the total moment: 0.00 Bohr magnetons per cell
* electronic total energy: -102.41 eV per formula unit

***

Density functional theory data (PBE) for crystalline SrPb2 at its relaxed geometry.

a = 5.581 Å, b = 7.157 Å, c = 10.184 Å
α = 90.00°, β = 90.00°, γ = 90.00°
Fractional positions:
Pb (0.250, 0.027, 0.724)
Pb (0.750, 0.473, 0.224)
Pb (0.250, 0.527, 0.776)
Pb (0.750, 0.973, 0.276)
Pb (0.250, 0.174, 0.416)
Pb (0.750, 0.326, 0.916)
Pb (0.250, 0.674, 0.084)
Pb (0.750, 0.826, 0.584)
Sr (0.250, 0.681, 0.415)
Sr (0.750, 0.819, 0.915)
Sr (0.250, 0.181, 0.085)
Sr (0.750, 0.319, 0.585)

Results
* symmetry: No. 62
* volume: 407 Å³/cell
* size of the total moment: 0.00 Bohr magnetons per cell
* electronic total energy: -10.14 eV per formula unit

***

Density functional theory data (PBE) for crystalline Sr3Pb at its relaxed geometry.

a = 4.071 Å, b = 4.071 Å, c = 10.797 Å
α = 90.00°, β = 90.00°, γ = 90.00°
Fractional positions:
Pb (0.000, 0.000, 0.000)
Sr (0.500, 0.500, 0.193)
Sr (0.000, 0.000, 0.500)
Sr (0.500, 0.500, 0.807)

Results
* symmetry: No. 123
* volume: 179 Å³/cell
* size of the total moment: 0.00 Bohr magnetons per cell
* electronic total energy: -9.87 eV per formula unit

***

The lowest volume belongs to which entry? number 6